The following is a DFT calculation (GGA+U) of a relaxed structure of RbSrMoF6.

The structure in POSCAR format:
```
RbSrMoF6
1.0
-3.899 4.025 5.459
3.899 -4.025 5.459
3.899 4.025 -5.459
Rb Sr Mo F
2 2 2 12
Cartesian
0.000 2.013 1.143
3.899 2.013 4.316
3.899 0.000 0.000
0.000 0.000 5.459
1.949 2.013 -2.729
1.949 -2.013 2.729
1.719 -0.538 1.279
6.079 -0.538 1.279
3.899 2.013 -1.889
1.719 3.487 -1.279
2.180 -0.538 4.180
3.899 2.013 1.279
0.000 2.013 4.179
1.719 4.564 1.279
2.180 0.538 6.737
0.000 2.013 7.348
-2.180 4.564 4.180
2.180 4.564 4.180
```

Output
- Symmetry: Imma
- Fermi-level density of states: 0.0 states/eV per cell
- Uncorrected energy: -97.37 eV/cell